[1]
Entry from the Alexandria database: a PBEsol-optimized structure of TiMoSeBr2 (SCAN).

Results
The value obtained for the spin magnetization is 5.3 μB/f.u. The calculated density is 5.13 g cm⁻³. The formation energy from raw total energies is 0.265 eV/atom. The symmetry is P4/mmm.

Cell: 5.058 5.058 4.843 Å, 90.00 90.00 90.00°
Fractional positions:
Ti 0.000 0.000 0.000
Mo 0.500 0.500 0.500
Se 0.500 0.500 0.000
Br 0.000 0.500 0.500
Br 0.500 0.000 0.500

***

[2]
Entry from the Alexandria database: a PBEsol-optimized structure of Si2MoBr (SCAN).

Results
The value obtained for the spin magnetization is 0.0 μB/f.u. The calculated density is 6.18 g cm⁻³. The formation energy from raw total energies is 0.818 eV/atom. The symmetry is Cmmm. For the energy above the most stable polymorph in this dataset, the calculation gives 132 kJ/mol of formula units.

Cell: 4.729 4.729 2.922 Å, 90.00 90.00 107.40°
Fractional positions:
Si 0.000 0.500 0.000
Si 0.500 0.000 0.000
Mo 0.000 0.000 0.500
Br 0.500 0.500 0.500

***

[3]
Entry from the Alexandria database: a PBEsol-optimized structure of Si2MoBr (SCAN).

Results
The value obtained for the spin magnetization is 0.0 μB/f.u. The calculated density is 5.38 g cm⁻³. The formation energy from raw total energies is 0.477 eV/atom. The symmetry is Pm. For the energy above the most stable polymorph in this dataset, the calculation gives 0 kJ/mol of formula units.

Cell: 3.581 4.147 5.023 Å, 90.00 106.28 90.00°
Fractional positions:
Si 0.000 0.000 0.000
Si 0.414 0.500 0.902
Mo 0.365 0.000 0.650
Br 0.635 0.500 0.395